[1]
# PBE-GGA TcBr, relaxed
data_TcBr
_chemical_formula_sum 'Tc4 Br4'
_space_group_name_H-M_alt 'P 1'
_space_group_IT_number 1
_cell_length_a 5.2521
_cell_length_b 5.2521
_cell_length_c 5.2521
_cell_angle_alpha 90.00
_cell_angle_beta 90.00
_cell_angle_gamma 90.00
loop_
_space_group_symop_operation_xyz
'x,y,z'
loop_
_atom_site_label
_atom_site_type_symbol
_atom_site_fract_x
_atom_site_fract_y
_atom_site_fract_z
_atom_site_occupancy
Tc1 Tc 0.4221 0.9221 0.5779 1
Tc2 Tc 0.0779 0.0779 0.0779 1
Tc3 Tc 0.5779 0.4221 0.9221 1
Tc4 Tc 0.9221 0.5779 0.4221 1
Br1 Br 0.1467 0.6467 0.8533 1
Br2 Br 0.3533 0.3533 0.3533 1
Br3 Br 0.8533 0.1467 0.6467 1
Br4 Br 0.6467 0.8533 0.1467 1
# Uncorrected formation energy, eV/atom: 1.0792


[2]
# PBE-GGA CoTcRh2, relaxed
data_CoTcRh2
_chemical_formula_sum 'Co1 Tc1 Rh2'
_space_group_name_H-M_alt 'P 1'
_space_group_IT_number 1
_cell_length_a 2.6791
_cell_length_b 3.7727
_cell_length_c 5.3279
_cell_angle_alpha 90.00
_cell_angle_beta 90.00
_cell_angle_gamma 90.00
loop_
_space_group_symop_operation_xyz
'x,y,z'
loop_
_atom_site_label
_atom_site_type_symbol
_atom_site_fract_x
_atom_site_fract_y
_atom_site_fract_z
_atom_site_occupancy
Co1 Co 0.5000 0.5000 0.7489 1
Rh1 Rh 0.0000 0.0000 0.9832 1
Rh2 Rh 0.5000 0.5000 0.2588 1
Tc1 Tc 0.0000 0.0000 0.5091 1
# ΔE_f, kJ per mole of atoms: 0.54


[3]
# PBE-GGA Sm6Co2Si3, relaxed
data_Sm6Co2Si3
_chemical_formula_sum 'Sm12 Co4 Si6'
_space_group_name_H-M_alt 'P 1'
_space_group_IT_number 1
_cell_length_a 4.3988
_cell_length_b 11.5603
_cell_length_c 11.6557
_cell_angle_alpha 60.89
_cell_angle_beta 90.00
_cell_angle_gamma 90.00
loop_
_space_group_symop_operation_xyz
'x,y,z'
loop_
_atom_site_label
_atom_site_type_symbol
_atom_site_fract_x
_atom_site_fract_y
_atom_site_fract_z
_atom_site_occupancy
Sm1 Sm 0.0000 0.2378 0.7805 1
Sm2 Sm 0.0000 0.7720 0.9932 1
Sm3 Sm 0.0000 0.9901 0.2368 1
Sm4 Sm 0.5000 0.7523 0.2297 1
Sm5 Sm 0.5000 0.2299 0.0213 1
Sm6 Sm 0.5000 0.0140 0.7655 1
Sm7 Sm 0.0000 0.8614 0.6240 1
Sm8 Sm 0.0000 0.6212 0.5118 1
Sm9 Sm 0.0000 0.5149 0.8621 1
Sm10 Sm 0.5000 0.1330 0.3826 1
Sm11 Sm 0.5000 0.3867 0.4757 1
Sm12 Sm 0.5000 0.4762 0.1363 1
Co1 Co 0.7493 0.9985 0.0040 1
Co2 Co 0.2507 0.9985 0.0040 1
Co3 Co 0.0000 0.5596 0.2755 1
Co4 Co 0.0000 0.2923 0.1461 1
Si1 Si 0.0000 0.3342 0.3267 1
Si2 Si 0.5000 0.6666 0.6656 1
Si3 Si 0.0000 0.1567 0.5627 1
Si4 Si 0.5000 0.4390 0.7140 1
Si5 Si 0.5000 0.7205 0.8415 1
Si6 Si 0.5000 0.8447 0.4404 1
# Uncorrected formation energy, eV/atom: -0.4434


[4]
# PBE-GGA LaDy3Co8, relaxed
data_LaDy3Co8
_chemical_formula_sum 'La1 Dy3 Co8'
_space_group_name_H-M_alt 'P 1'
_space_group_IT_number 1
_cell_length_a 5.0942
_cell_length_b 5.0942
_cell_length_c 8.8516
_cell_angle_alpha 73.28
_cell_angle_beta 73.28
_cell_angle_gamma 60.00
loop_
_space_group_symop_operation_xyz
'x,y,z'
loop_
_atom_site_label
_atom_site_type_symbol
_atom_site_fract_x
_atom_site_fract_y
_atom_site_fract_z
_atom_site_occupancy
La1 La 0.8747 0.8747 0.3759 1
Dy1 Dy 0.3753 0.3753 0.8741 1
Dy2 Dy 0.9999 0.9999 0.0004 1
Dy3 Dy 0.4999 0.4999 0.5003 1
Co1 Co 0.9421 0.4382 0.1815 1
Co2 Co 0.4308 0.9380 0.6932 1
Co3 Co 0.4382 0.4382 0.1815 1
Co4 Co 0.9380 0.9380 0.6932 1
Co5 Co 0.1870 0.1870 0.4388 1
Co6 Co 0.6879 0.6879 0.9364 1
Co7 Co 0.4382 0.9421 0.1815 1
Co8 Co 0.9380 0.4308 0.6932 1
# ΔE_f, kJ per mole of atoms: -14.71


no.,total DFT energy (no corrections) (eV per cell),DOS(E_F) (states/eV/f.u.),volume (Å³/cell)
1,-39.52,2.4,144.9
2,-32.15,4.7,53.9
3,-127.35,9.1,517.8
4,-77.41,17.5,187.6